The following is a DFT calculation (GGA-PBE) of a relaxed Sm2Cu2Pt5Au crystal.

Summary:
calculated volume = 353 Å³ per cell
calculated formation energy = -723 meV per atom

a = 9.3832 Å, b = 9.3832 Å, c = 4.0122 Å
α = 90.00°, β = 90.00°, γ = 90.00°
With the nearest neighbours (Å) after each atom.
Space group P4/mbm (No. 127)
Unique sites:
Sm 0.1792 0.3208 0.0000 (multiplicity 4)  3 Cu 2.68-2.85
Cu 0.1187 0.6187 0.0000 (multiplicity 4)  6 Pt 2.55-2.62, 3 Sm 2.68-2.85
Pt 0.0000 0.5000 0.5000 (multiplicity 2)  4 Cu 2.55, 4 Pt 2.80
Pt 0.0668 0.7913 0.5000 (multiplicity 8)  2 Cu 2.62, 3 Pt 2.80-2.91, 2 Au 2.87
Au 0.0000 0.0000 0.0000 (multiplicity 2)  8 Pt 2.87